1.
CuReP2 | PBE | relaxed

The space group is I-42d (No. 122) and the conventional cell measures 5.397, 5.397 and 10.235 Å, with angles of 90.00, 90.00 and 90.00 degrees. The inequivalent atoms are Cu at (0.000, 0.000, 0.000), Re at (0.000, 0.000, 0.500) and P at (0.245, 0.250, 0.625).

As for the crystal system: tetragonal. For the formation energy, the calculation gives 155 meV/atom. The mass density comes out at 6.94 g cm⁻³. For the polymorph energy (0 for the lowest one), the calculation gives 0.211 eV per atom. The density of states at the Fermi level is 1.55 states/eV/f.u.

---

2.
Li2Ag2Mo | PBE | relaxed

The space group is I4/mmm (No. 139) and the conventional cell measures 3.460, 3.460 and 13.664 Å, with angles of 90.00, 90.00 and 90.00 degrees. The inequivalent atoms are Li at (0.000, 0.500, 0.250), Ag at (0.000, 0.000, 0.104) and Mo at (0.000, 0.000, 0.500).

As for the crystal system: tetragonal. For the formation energy, the calculation gives 564 meV/atom. The mass density comes out at 6.61 g cm⁻³. For the polymorph energy (0 for the lowest one), the calculation gives 0.310 eV per atom. The density of states at the Fermi level is 3.05 states/eV/f.u.

---

What did the first record say?
CuReP2 | PBE | relaxed

The space group is I-42d (No. 122) and the conventional cell measures 5.397, 5.397 and 10.235 Å, with angles of 90.00, 90.00 and 90.00 degrees. The inequivalent atoms are Cu at (0.000, 0.000, 0.000), Re at (0.000, 0.000, 0.500) and P at (0.245, 0.250, 0.625).

As for the crystal system: tetragonal. For the formation energy, the calculation gives 155 meV/atom. The mass density comes out at 6.94 g cm⁻³. For the polymorph energy (0 for the lowest one), the calculation gives 0.211 eV per atom. The density of states at the Fermi level is 1.55 states/eV/f.u.

---

Among the records above, which one has the lowest mass density?
Li2Ag2Mo

---

Which value of mass density does entry 1 give?
6.94 g cm⁻³

---

Which formula does entry 2 have?
Li2Ag2Mo